Record 1
Material: LaTbS2O
Method: DFT, PBE
State: optimized geometry

Lattice parameters (Å, degrees): 3.992 3.992 14.081 90.00 90.00 90.00
Atoms (fractional coordinates):
1 S 0.500 0.000 0.298
2 S 0.000 0.500 0.091
3 S 0.000 0.500 0.702
4 S 0.500 0.000 0.909
5 Tb 0.000 0.500 0.880
6 Tb 0.500 0.000 0.120
7 La 0.500 0.000 0.590
8 La 0.000 0.500 0.410
9 O 0.000 0.000 0.500
10 O 0.500 0.500 0.500

As for the density of states at the Fermi level: 1.202 states/eV/cell. The calculated volume is 224.4 Å³/cell. The value obtained for the uncorrected formation energy is -2565 meV per atom.

Record 2
Material: Sr6Sb2AsS
Method: DFT, PBE
State: optimized geometry

Lattice parameters (Å, degrees): 7.648 8.599 11.151 90.00 89.92 90.00
Atoms (fractional coordinates):
1 Sr 0.177 0.189 0.435
2 Sr 0.819 0.810 0.938
3 Sr 0.681 0.310 0.562
4 Sr 0.319 0.690 0.438
5 Sr 0.132 0.451 0.748
6 Sr 0.181 0.190 0.062
7 Sr 0.868 0.549 0.252
8 Sr 0.323 0.689 0.065
9 Sr 0.823 0.811 0.565
10 Sr 0.677 0.311 0.935
11 Sr 0.632 0.049 0.248
12 Sr 0.368 0.951 0.752
13 Sb 0.540 0.595 0.748
14 Sb 0.040 0.905 0.248
15 Sb 0.460 0.405 0.252
16 Sb 0.960 0.095 0.752
17 S 0.500 0.000 0.000
18 S 0.000 0.500 0.500
19 As 0.000 0.500 0.000
20 As 0.500 0.000 0.500

As for the density of states at the Fermi level: 7.607 states/eV/cell. The calculated volume is 733.3 Å³/cell. The value obtained for the uncorrected formation energy is -1186 meV per atom.

Record 3
Material: CaH8Rh4
Method: DFT, PBE
State: optimized geometry

Lattice parameters (Å, degrees): 5.658 5.653 6.099 90.07 117.56 119.83
Atoms (fractional coordinates):
1 Rh 0.500 0.000 0.000
2 Rh 0.000 0.500 0.000
3 Rh 0.500 0.500 0.000
4 Rh 0.000 0.000 0.000
5 H 0.943 0.728 0.161
6 H 0.556 0.278 0.832
7 H 0.569 0.784 0.839
8 H 0.057 0.272 0.839
9 H 0.431 0.216 0.161
10 H 0.444 0.722 0.168
11 H 0.943 0.215 0.160
12 H 0.057 0.785 0.840
13 Ca 0.000 0.500 0.500

As for the density of states at the Fermi level: 3.578 states/eV/cell. The final energy is -4.663 eV per atom. The calculated volume is 143.1 Å³/cell.